[1]
DFT (PBEsol) results for a relaxed structure of ZnCr.

Its volume is 49.9 Å³/cell. The total energy comes out at -5.789 eV per atom. Its formation energy is 123 meV per atom.

The space group is P4/nmm (No. 129, origin choice 2) and the conventional cell measures 2.9236, 2.9236 and 5.8365 Å, with angles of 90.00, 90.00 and 90.00 degrees. The distinct sites, in fractional coordinates, are Zn at (0.2500, 0.2500, 0.1302) and Cr at (0.2500, 0.2500, 0.5873).

=====

[2]
DFT (PBEsol) results for a relaxed structure of BeAg3.

Its volume is 58.8 Å³/cell. The total energy comes out at -3.369 eV per atom. Its formation energy is 114 meV per atom.

The space group is P-6m2 (No. 187) and the conventional cell measures 2.8405, 2.8405 and 8.4221 Å, with angles of 90.00, 90.00 and 120.00 degrees. The distinct sites, in fractional coordinates, are Be at (0.0000, 0.0000, 0.0000), Ag at (0.0000, 0.0000, 0.5000) and Ag at (0.6667, 0.3333, 0.2178).

=====

[3]
DFT (PBEsol) results for a relaxed structure of InGa2Pb.

Its volume is 372.5 Å³/cell. The total energy comes out at -3.347 eV per atom. Its formation energy is 68 meV per atom.

The space group is Fm-3m (No. 225) and the conventional cell measures 7.1953, 7.1953 and 7.1953 Å, with angles of 90.00, 90.00 and 90.00 degrees. The distinct sites, in fractional coordinates, are In at (0.0000, 0.0000, 0.0000), Ga at (0.2500, 0.2500, 0.2500) and Pb at (0.0000, 0.0000, 0.5000).

=====

[4]
DFT (PBEsol) results for a relaxed structure of MgHgRhSe2.

As for the raw formation energy: 1088 meV/atom. Its volume is 131.4 Å³/cell. The total energy comes out at -2.537 eV per atom.

The space group is P4/mmm (No. 123) and the conventional cell measures 5.1515, 5.1515 and 4.9511 Å, with angles of 90.00, 90.00 and 90.00 degrees. The distinct sites, in fractional coordinates, are Mg at (0.0000, 0.0000, 0.0000), Hg at (0.0000, 0.0000, 0.5000), Rh at (0.5000, 0.5000, 0.0000) and Se at (0.0000, 0.5000, 0.5000).

=====

[5]
DFT (PBEsol) results for a relaxed structure of BaFe2Ru2.

Its volume is 185.0 Å³/cell. The total energy comes out at -7.526 eV per atom. Its formation energy is 558 meV per atom.

The space group is I4/mmm (No. 139) and the conventional cell measures 4.1953, 4.1953 and 10.5109 Å, with angles of 90.00, 90.00 and 90.00 degrees. The distinct sites, in fractional coordinates, are Ba at (0.0000, 0.0000, 0.0000), Fe at (0.0000, 0.0000, 0.3423) and Ru at (0.0000, 0.5000, 0.2500).

=====

[6]
DFT (PBEsol) results for a relaxed structure of YReI2O.

As for the raw formation energy: 69 meV/atom. Its volume is 152.6 Å³/cell. The total energy comes out at -5.718 eV per atom.

The space group is P4/mmm (No. 123) and the conventional cell measures 6.0859, 6.0859 and 4.1199 Å, with angles of 90.00, 90.00 and 90.00 degrees. The distinct sites, in fractional coordinates, are Y at (0.0000, 0.0000, 0.0000), Re at (0.5000, 0.5000, 0.5000), I at (0.0000, 0.5000, 0.0000) and O at (0.0000, 0.0000, 0.5000).

=====

[7]
DFT (PBEsol) results for a relaxed structure of BaHfTc3.

Its volume is 110.5 Å³/cell. The total energy comes out at -6.574 eV per atom. Its formation energy is 2717 meV per atom.

The space group is Pm-3m (No. 221) and the conventional cell measures 4.7991, 4.7991 and 4.7991 Å, with angles of 90.00, 90.00 and 90.00 degrees. The distinct sites, in fractional coordinates, are Ba at (0.0000, 0.0000, 0.0000), Hf at (0.5000, 0.5000, 0.5000) and Tc at (0.0000, 0.0000, 0.5000).

=====

[8]
DFT (PBEsol) results for a relaxed structure of Na2NiH14N6.

Its volume is 801.4 Å³/cell. The total energy comes out at -4.974 eV per atom.

The space group is I4/m (No. 87) and the conventional cell measures 8.7805, 8.7805 and 10.3946 Å, with angles of 90.00, 90.00 and 90.00 degrees. The distinct sites, in fractional coordinates, are Na at (0.1234, 0.2159, 0.0000), Ni at (0.0000, 0.0000, 0.1965), H at (0.0136, 0.7959, 0.4202), H at (0.0224, 0.2816, 0.2207), H at (0.0618, 0.3479, 0.5000), H at (0.1499, 0.7744, 0.2440), N at (0.0281, 0.7274, 0.5000) and N at (0.0579, 0.7928, 0.1844).

=====

[9]
DFT (PBEsol) results for a relaxed structure of CaLa3.

Its volume is 284.9 Å³/cell. The total energy comes out at -4.452 eV per atom. Its formation energy is 91 meV per atom.

The space group is Pmmn (No. 59, origin choice 2) and the conventional cell measures 5.8688, 7.4876 and 6.4825 Å, with angles of 90.00, 90.00 and 90.00 degrees. The distinct sites, in fractional coordinates, are Ca at (0.2500, 0.2500, 0.1571), La at (0.2500, 0.0041, 0.6566) and La at (0.2500, 0.7500, 0.1830).

=====

[10]
DFT (PBEsol) results for a relaxed structure of AlSNCl3.

As for the raw formation energy: -882 meV/atom. Its volume is 582.7 Å³/cell. The total energy comes out at -4.720 eV per atom.

The space group is P2_1/c (No. 14) and the conventional cell measures 7.2328, 9.6112 and 9.3945 Å, with angles of 90.00, 116.83 and 90.00 degrees. The distinct sites, in fractional coordinates, are Al at (0.2477, 0.1294, 0.1485), S at (0.3534, 0.5361, 0.3736), N at (0.3905, 0.0424, 0.0414), Cl at (0.0716, 0.5233, 0.7017), Cl at (0.1001, 0.1832, 0.5424) and Cl at (0.4634, 0.6675, 0.1435).

=====

[11]
DFT (PBEsol) results for a relaxed structure of Hf2NiHAu.

Its volume is 87.2 Å³/cell. The total energy comes out at -6.309 eV per atom.

The space group is P4/mmm (No. 123) and the conventional cell measures 5.1919, 5.1919 and 3.2334 Å, with angles of 90.00, 90.00 and 90.00 degrees. The distinct sites, in fractional coordinates, are Hf at (0.0000, 0.5000, 0.0000), Ni at (0.0000, 0.0000, 0.5000), H at (0.5000, 0.5000, 0.5000) and Au at (0.5000, 0.5000, 0.0000).

=====

[12]
DFT (PBEsol) results for a relaxed structure of Cu2HgBr.

As for the raw formation energy: 346 meV/atom. Its volume is 68.1 Å³/cell. The total energy comes out at -2.430 eV per atom. For the relative energy among the computed polymorphs, the calculation gives 277 meV per atom.

The space group is P4/mmm (No. 123) and the conventional cell measures 4.5782, 4.5782 and 3.2467 Å, with angles of 90.00, 90.00 and 90.00 degrees. The distinct sites, in fractional coordinates, are Cu at (0.0000, 0.5000, 0.0000), Hg at (0.0000, 0.0000, 0.5000) and Br at (0.5000, 0.5000, 0.5000).

=====

[13]
DFT (PBEsol) results for a relaxed structure of TlWCl.

As for the raw formation energy: 800 meV/atom. Its volume is 113.8 Å³/cell. The total energy comes out at -5.349 eV per atom. For the relative energy among the computed polymorphs, the calculation gives 228 meV per atom.

The space group is Imm2 (No. 44) and the conventional cell measures 2.8533, 3.8102 and 10.4635 Å, with angles of 90.00, 90.00 and 90.00 degrees. The distinct sites, in fractional coordinates, are Tl at (0.0000, 0.0000, 0.0000), W at (0.0000, 0.0000, 0.7081) and Cl at (0.0000, 0.0000, 0.2871).

=====

[14]
DFT (PBEsol) results for a relaxed structure of LaTaAs2Br.

As for the raw formation energy: -479 meV/atom. Its volume is 123.5 Å³/cell. The total energy comes out at -6.475 eV per atom.

The space group is P4/mmm (No. 123) and the conventional cell measures 4.9786, 4.9786 and 4.9816 Å, with angles of 90.00, 90.00 and 90.00 degrees. The distinct sites, in fractional coordinates, are La at (0.0000, 0.0000, 0.0000), Ta at (0.5000, 0.5000, 0.5000), As at (0.0000, 0.5000, 0.5000) and Br at (0.5000, 0.5000, 0.0000).

=====

[15]
DFT (PBEsol) results for a relaxed structure of AlTeRh2.

As for the raw formation energy: -331 meV/atom. Its volume is 62.8 Å³/cell. The total energy comes out at -6.305 eV per atom. For the relative energy among the computed polymorphs, the calculation gives 101 meV per atom.

The space group is P4/mmm (No. 123) and the conventional cell measures 4.4270, 4.4270 and 3.2059 Å, with angles of 90.00, 90.00 and 90.00 degrees. The distinct sites, in fractional coordinates, are Al at (0.0000, 0.0000, 0.0000), Te at (0.5000, 0.5000, 0.0000) and Rh at (0.0000, 0.5000, 0.5000).

=====

[16]
DFT (PBEsol) results for a relaxed structure of LiTlAs2.

Its volume is 179.3 Å³/cell. The total energy comes out at -3.858 eV per atom. Its formation energy is -156 meV per atom.

The space group is Imm2 (No. 44) and the conventional cell measures 3.6061, 4.2069 and 11.8191 Å, with angles of 90.00, 90.00 and 90.00 degrees. The distinct sites, in fractional coordinates, are Li at (0.0000, 0.0000, 0.0000), Tl at (0.0000, 0.5000, 0.7743), As at (0.0000, 0.0000, 0.4951) and As at (0.0000, 0.5000, 0.1452).

=====

[17]
DFT (PBEsol) results for a relaxed structure of SrIn2Hg.

Its volume is 342.0 Å³/cell. The total energy comes out at -2.427 eV per atom. Its formation energy is -334 meV per atom.

The space group is R-3m (No. 166, hexagonal axes) and the conventional cell measures 4.7406, 4.7406 and 17.5714 Å, with angles of 90.00, 90.00 and 120.00 degrees. The distinct sites, in fractional coordinates, are Sr at (0.0000, 0.0000, 0.0000), In at (0.0000, 0.0000, 0.2221) and Hg at (0.0000, 0.0000, 0.5000).

=====

[18]
DFT (PBEsol) results for a relaxed structure of Te2SNF.

As for the raw formation energy: 555 meV/atom. Its volume is 93.3 Å³/cell. The total energy comes out at -3.823 eV per atom.

The space group is P4/mmm (No. 123) and the conventional cell measures 5.3468, 5.3468 and 3.2622 Å, with angles of 90.00, 90.00 and 90.00 degrees. The distinct sites, in fractional coordinates, are Te at (0.0000, 0.5000, 0.0000), S at (0.0000, 0.0000, 0.0000), N at (0.0000, 0.0000, 0.5000) and F at (0.5000, 0.5000, 0.5000).

=====

[19]
DFT (PBEsol) results for a relaxed structure of ZrAlFe4.

Its volume is 305.2 Å³/cell. The total energy comes out at -8.489 eV per atom. Its formation energy is -317 meV per atom.

The space group is F-43m (No. 216) and the conventional cell measures 6.7327, 6.7327 and 6.7327 Å, with angles of 90.00, 90.00 and 90.00 degrees. The distinct sites, in fractional coordinates, are Zr at (0.0000, 0.0000, 0.0000), Al at (0.2500, 0.2500, 0.7500) and Fe at (0.1241, 0.1241, 0.3759).

=====

[20]
DFT (PBEsol) results for a relaxed structure of Ca2SiNi.

As for the raw formation energy: -393 meV/atom. Its volume is 181.6 Å³/cell. The total energy comes out at -4.436 eV per atom.

The space group is Amm2 (No. 38) and the conventional cell measures 4.1093, 4.4867 and 9.8485 Å, with angles of 90.00, 90.00 and 90.00 degrees. The distinct sites, in fractional coordinates, are Ca at (0.0000, 0.0000, 0.0000), Ca at (0.5000, 0.0000, 0.2920), Si at (0.5000, 0.0000, 0.6023) and Ni at (0.0000, 0.0000, 0.6901).